Entry 1:
Below is a geometry-optimized VNi2SeI structure, with properties calculated at the PBE level.

a = 4.7648 Å, b = 4.7648 Å, c = 4.5207 Å
α = 90.00°, β = 90.00°, γ = 90.00°
Sites, in units of the cell vectors:
V  0.0000  0.0000  0.0000
Ni  0.0000  0.5000  0.0000
Ni  0.5000  0.0000  0.0000
Se  0.0000  0.0000  0.5000
I  0.5000  0.5000  0.5000

crystal system	tetragonal
E_tot	-4.324	eV per atom
E_form (uncorrected)	79.01	kJ/mol of atoms
V	20.53	A^3/atom

Entry 2:
Below is a geometry-optimized ZrSc5Ag4 structure, with properties calculated at the PBE level.

a = 3.3747 Å, b = 3.3747 Å, c = 18.3470 Å
α = 90.00°, β = 90.00°, γ = 90.00°
Sites, in units of the cell vectors:
Zr  0.0000  0.0000  0.0000
Sc  0.5000  0.5000  0.1151
Sc  0.5000  0.5000  0.3082
Sc  0.5000  0.5000  0.5000
Sc  0.5000  0.5000  0.6918
Sc  0.5000  0.5000  0.8849
Ag  0.0000  0.0000  0.2123
Ag  0.0000  0.0000  0.4046
Ag  0.0000  0.0000  0.5954
Ag  0.0000  0.0000  0.7877

crystal system	tetragonal
E_tot	-5.379	eV per atom
V	20.89	A^3/atom
formation energy	-0.218	eV per atom